1.
Here is Th3SiOs after structural relaxation from the Alexandria database. Energies are from PBE.

```
Th3SiOs
1.0
-2.1344 -4.7477 5.0198
3.9307 -0.9636 5.9635
-2.6990 2.6816 6.5582
Th Si Os
6 2 2
Cartesian
-2.0832 -1.8298 10.9673
0.5824 0.7613 9.9561
-2.4044 0.0805 7.6280
1.1805 -1.1998 6.5742
-1.4851 -3.7910 7.5854
1.5017 -3.1101 9.9136
0.0319 -3.2618 12.5382
-0.9346 0.2322 5.0033
0.4266 -1.6656 3.8126
-1.3293 -1.3640 13.7289
```

Output
Calculated density = 10.608 g/cm3
VASP energy = -8.068 eV per atom
Formation energy (no corrections) = -0.286 eV/atom



2.
Here is Sr3PaSb4 after structural relaxation from the Alexandria database. Energies are from PBE.

```
Sr3PaSb4
1.0
-1.1775 -4.0726 6.8717
7.5928 -0.9686 -2.5048
2.5930 7.5721 4.9320
Sr Pa Sb
6 2 8
Cartesian
0.0916 -0.2080 7.0078
1.3239 3.7075 4.7959
4.5227 1.1610 6.9625
3.2373 -2.5926 4.5177
4.4857 1.3699 2.3364
5.7710 5.1235 4.7813
1.3819 3.5598 9.4619
0.0336 -0.0603 2.3418
2.2972 0.6489 9.3229
3.3844 4.4916 7.2884
2.1432 0.5163 4.4744
1.9465 0.6096 -0.0023
7.0619 1.9212 9.3013
6.8651 2.0145 4.8246
5.6239 -1.9608 2.0106
6.7111 1.8820 -0.0239
```

Output
Calculated density = 5.670 g/cm3
VASP energy = -4.696 eV per atom
Formation energy (no corrections) = -0.817 eV/atom



3.
Here is TbDy2N after structural relaxation from the Alexandria database. Energies are from PBE.

```
TbDy2N
1.0
3.4534 0.0000 0.0000
1.7267 2.9907 0.0000
1.7267 0.9969 9.4603
N Tb Dy
1 1 2
Cartesian
3.4534 1.9938 4.7302
0.0000 0.0000 0.0000
1.7267 0.9969 6.0555
5.1801 2.9907 3.4048
```

Output
Calculated density = 8.462 g/cm3
VASP energy = -6.211 eV per atom
Formation energy (no corrections) = -0.671 eV/atom



4.
Here is HfSc2AsPd after structural relaxation from the Alexandria database. Energies are from PBE.

```
HfSc2AsPd
1.0
-0.5205 4.9217 0.6926
-3.7141 0.0753 -3.3260
-3.2935 -0.8631 3.6582
Sc As Hf Pd
2 1 1 1
Cartesian
-1.6467 -0.4315 1.8291
-0.2602 2.4609 0.3463
-3.7640 2.0670 0.5124
-1.8570 0.0376 -1.6630
0.0000 0.0000 0.0000
```

Output
Calculated density = 5.997 g/cm3
VASP energy = -6.512 eV per atom
Energy relative to the elements = -20 meV per atom



5.
Here is Ba2Zn4Pt after structural relaxation from the Alexandria database. Energies are from PBE.

```
Ba2Zn4Pt
1.0
4.9377 0.0000 0.0000
0.0000 4.9377 0.0000
2.4688 2.4688 8.4982
Zn Ba Pt
4 2 1
Cartesian
4.9377 4.9377 2.4850
2.4688 2.4688 6.0132
0.0000 2.4688 0.0000
2.4688 0.0000 0.0000
4.9377 4.9377 5.9787
2.4688 2.4688 2.5195
0.0000 0.0000 0.0000
```

Output
Calculated density = 5.862 g/cm3
VASP energy = -2.432 eV per atom
Energy relative to the elements = -292 meV per atom



6.
Here is TlNiSn3 after structural relaxation from the Alexandria database. Energies are from PBE.

```
TlNiSn3
1.0
5.6625 0.0000 0.0000
0.0000 5.6625 0.0000
0.0000 0.0000 5.6625
Ni Tl Sn
1 1 3
Cartesian
2.8313 2.8313 2.8313
0.0000 0.0000 0.0000
0.0000 2.8313 0.0000
0.0000 0.0000 2.8313
2.8313 0.0000 0.0000
```

Output
Calculated density = 5.663 g/cm3
VASP energy = -2.773 eV per atom
Energy relative to the elements = 1259 meV per atom
Relative energy among the computed polymorphs = 1200 meV per atom



7.
Here is Pm2As7Ru12 after structural relaxation from the Alexandria database. Energies are from PBE.

```
Pm2As7Ru12
1.0
4.0428 0.0000 0.0000
0.0000 8.4798 -4.8958
0.0000 0.0000 9.7917
Pm As Ru
2 7 12
Cartesian
2.0214 0.0000 0.0000
0.0000 5.6532 0.0000
0.0000 2.8266 4.8958
0.0000 0.2622 7.5074
0.0000 6.3705 5.8109
0.0000 1.8471 1.3692
2.0214 5.2600 2.3796
2.0214 7.9106 -0.8492
2.0214 3.7891 -1.5303
2.0214 7.5966 1.6448
2.0214 6.1060 -2.5054
2.0214 3.2571 0.8606
2.0214 2.0361 6.4927
2.0214 4.6048 4.7820
2.0214 1.8390 3.4128
0.0000 0.5034 5.1073
0.0000 4.1714 6.8020
0.0000 3.8051 2.7782
0.0000 6.4302 3.4046
0.0000 8.2133 -2.3752
0.0000 2.3162 -1.0295
```

Output
Calculated density = 10.029 g/cm3
VASP energy = -7.728 eV per atom
Energy relative to the elements = -425 meV per atom



8.
Here is CeSmTh after structural relaxation from the Alexandria database. Energies are from PBE.

```
CeSmTh
1.0
-1.1749 3.1062 -0.6830
-3.1020 -2.0866 -4.1535
-4.4493 -0.8575 3.7536
Ce Th Sm
1 1 1
Cartesian
-3.7756 -1.4720 -0.1999
-2.8121 1.1244 1.5353
0.0000 0.0000 0.0000
```

Output
Calculated density = 7.783 g/cm3
VASP energy = -5.514 eV per atom
Energy relative to the elements = 510 meV per atom
Relative energy among the computed polymorphs = 466 meV per atom



9.
Here is Pm2NdTlHg4 after structural relaxation from the Alexandria database. Energies are from PBE.

```
Pm2NdTlHg4
1.0
5.2872 0.0000 0.0000
2.6436 4.5788 0.0000
2.6436 1.5263 9.0362
Pm Nd Tl Hg
2 1 1 4
Cartesian
7.9308 4.5788 7.0337
2.6436 1.5263 2.0025
5.2872 3.0526 4.5181
0.0000 0.0000 0.0000
5.2872 3.0526 7.7628
7.9308 4.5788 3.5405
2.6436 1.5263 5.4957
5.2872 3.0526 1.2734
```

Output
Calculated density = 10.938 g/cm3
VASP energy = -2.637 eV per atom
Energy relative to the elements = -406 meV per atom



10.
Here is HoThCuAg after structural relaxation from the Alexandria database. Energies are from PBE.

```
HoThCuAg
1.0
-1.4449 2.5641 4.1895
-1.0990 -2.5429 4.3058
3.1468 0.3049 4.0273
Ag Cu Ho Th
1 1 1 1
Cartesian
0.4522 0.2446 9.3920
0.1507 0.0815 3.1307
0.3015 0.1630 6.2613
0.0000 0.0000 0.0000
```

Output
Calculated density = 9.945 g/cm3
VASP energy = -4.849 eV per atom
Energy relative to the elements = -113 meV per atom



11.
Here is Zr4Rh2N after structural relaxation from the Alexandria database. Energies are from PBE.

```
Zr4Rh2N
1.0
8.8170 0.0000 0.0000
4.4085 7.6357 0.0000
4.4085 2.5452 7.1990
Zr Rh N
16 8 4
Cartesian
6.6127 6.3631 4.4994
8.8170 2.5452 4.4994
8.8170 5.0905 0.8999
11.0212 6.3631 4.4994
11.6154 6.7061 1.3146
6.0186 3.4748 5.8844
11.6154 3.4748 5.8844
6.0186 6.7061 1.3146
8.8170 8.3218 5.8844
8.8170 1.8592 1.3146
6.0186 3.4748 0.4851
2.7984 1.6157 3.1144
6.0186 1.6157 3.1144
2.7984 3.4748 0.4851
4.4085 4.4044 3.1144
4.4085 0.6861 0.4851
10.4179 4.1662 2.9459
8.8170 6.9390 2.9459
8.8170 5.0905 5.5602
7.2161 4.1662 2.9459
11.6245 8.5600 6.0528
13.2254 5.7872 6.0528
13.2254 7.6357 3.4386
14.8263 8.5600 6.0528
6.6127 1.2726 0.8999
4.4085 5.0905 0.8999
4.4085 2.5452 4.4994
2.2042 1.2726 0.8999
```

Output
Calculated density = 8.013 g/cm3
VASP energy = -9.173 eV per atom
Relative energy among the computed polymorphs = 0 meV per atom
Formation energy (no corrections) = -0.999 eV/atom



12.
Here is VAuS2Cl after structural relaxation from the Alexandria database. Energies are from PBE.

```
VAuS2Cl
1.0
4.5626 0.0000 0.0000
0.0000 4.5626 0.0000
0.0000 0.0000 4.8627
S Cl Au V
2 1 1 1
Cartesian
0.0000 2.2813 0.0000
2.2813 0.0000 0.0000
0.0000 0.0000 2.4313
2.2813 2.2813 2.4313
0.0000 0.0000 0.0000
```

Output
Calculated density = 5.700 g/cm3
VASP energy = -4.504 eV per atom
Relative energy among the computed polymorphs = 0 meV per atom
Formation energy (no corrections) = -0.004 eV/atom



13.
Here is PmNd2Th3P6 after structural relaxation from the Alexandria database. Energies are from PBE.

```
PmNd2Th3P6
1.0
7.1925 0.0037 0.0009
-3.5913 6.2317 0.0009
-1.2006 -2.0789 6.7592
Pm Nd Th P
1 2 3 6
Cartesian
0.0000 0.0000 0.0000
0.0043 4.1551 0.0009
3.5969 2.0803 0.0009
-2.3923 4.1531 3.3805
4.7929 0.0034 3.3805
1.2003 2.0783 3.3805
3.5938 2.0870 5.0456
2.4048 4.1639 1.7180
-1.1933 2.0696 1.7154
0.0117 4.1559 5.0456
-0.0042 -0.0073 5.0431
2.3889 0.0007 1.7154
```

Output
Calculated density = 7.207 g/cm3
VASP energy = -7.320 eV per atom
Energy relative to the elements = -1570 meV per atom



14.
Here is Sm2NpSb3Rh4 after structural relaxation from the Alexandria database. Energies are from PBE.

```
Sm2NpSb3Rh4
1.0
-2.5760 1.6503 -3.1740
-3.5063 -1.9408 1.8366
-1.8224 9.2361 6.2812
Sm Np Sb Rh
2 1 3 4
Cartesian
-1.6966 2.8961 -0.1786
-3.1669 6.1947 5.7911
-3.9524 4.4728 2.4719
-0.9112 4.6180 3.1406
-2.8714 8.8501 3.8705
-1.9921 0.2407 1.7420
-3.0412 -0.1453 -0.6687
0.0000 0.0000 0.0000
-2.4579 6.7543 2.4453
-2.4056 2.3365 3.1672
```

Output
Calculated density = 9.925 g/cm3
VASP energy = -7.125 eV per atom
Formation energy (no corrections) = -0.710 eV/atom



15.
Here is Ac8Os3NCl4 after structural relaxation from the Alexandria database. Energies are from PBE.

```
Ac8Os3NCl4
1.0
-7.9491 -0.0286 2.8915
2.1576 -6.9401 5.8627
4.6626 7.0388 0.5152
Ac Os N Cl
8 3 1 4
Cartesian
4.2247 2.0019 5.2075
1.8031 -1.6532 4.9407
0.9828 1.6918 2.7186
0.0958 1.9871 6.7094
-1.2247 -1.9169 2.5600
-2.1118 -1.6216 6.5508
-2.9321 1.7234 4.3288
-5.3537 -1.9318 4.0620
-2.8958 -3.4843 4.3771
-0.5645 0.0351 4.6347
3.4101 0.0494 3.1890
1.0788 -3.4700 2.9314
-3.9746 -0.0143 1.4458
-1.6432 3.5051 1.7034
0.0000 0.0000 0.0000
2.3313 3.5194 0.2576
```

Output
Calculated density = 8.561 g/cm3
VASP energy = -6.085 eV per atom
Formation energy (no corrections) = -0.943 eV/atom



16.
Here is Zr2ScOs2 after structural relaxation from the Alexandria database. Energies are from PBE.

```
Zr2ScOs2
1.0
4.0700 0.0000 0.0000
0.0000 4.0700 0.0000
2.0350 2.0350 6.5870
Sc Os Zr
1 2 2
Cartesian
0.0000 0.0000 0.0000
4.0700 2.0350 3.2935
2.0350 4.0700 3.2935
2.0350 2.0350 1.6045
4.0700 4.0700 4.9825
```

Output
Calculated density = 9.251 g/cm3
VASP energy = -8.869 eV per atom
Energy relative to the elements = 308 meV per atom
Relative energy among the computed polymorphs = 729 meV per atom



17.
Here is Zn2Ru2C after structural relaxation from the Alexandria database. Energies are from PBE.

```
Zn2Ru2C
1.0
5.5368 0.0000 0.0000
0.0000 5.5368 0.0000
0.0000 0.0000 4.3170
Ru Zn C
4 4 2
Cartesian
1.8236 4.5920 0.0000
4.5920 3.7131 0.0000
3.7131 0.9447 0.0000
0.9447 1.8236 0.0000
0.8650 3.6334 2.1585
3.6334 4.6717 2.1585
4.6717 1.9033 2.1585
1.9033 0.8650 2.1585
0.0000 0.0000 0.0000
2.7684 2.7684 0.0000
```

Output
Calculated density = 8.657 g/cm3
VASP energy = -5.913 eV per atom
Energy relative to the elements = 151 meV per atom



18.
Here is Ac2La2N3 after structural relaxation from the Alexandria database. Energies are from PBE.

```
Ac2La2N3
1.0
-0.9663 -3.6554 -0.2700
6.0000 -1.3742 -2.8684
1.9518 0.9884 6.2416
Ac La N
2 2 3
Cartesian
4.4683 -3.3318 2.5077
2.5172 -0.7094 0.5954
5.2355 -3.2656 -1.1336
1.7500 -0.7756 4.2367
0.0000 0.0000 0.0000
1.5954 -2.5454 2.1425
5.3901 -1.4958 0.9606
```

Output
Calculated density = 8.002 g/cm3
VASP energy = -7.168 eV per atom
Formation energy (no corrections) = -1.018 eV/atom



19.
Here is LiReP2 after structural relaxation from the Alexandria database. Energies are from PBE.

```
LiReP2
1.0
7.5071 0.0314 0.0187
6.8600 3.0492 0.0187
6.8600 1.4709 2.6710
Li P Re
1 2 1
Cartesian
15.9204 3.4137 2.0313
21.0789 4.5198 2.6895
10.7619 2.3076 1.3731
5.3068 1.1379 0.6771
```

Output
Calculated density = 7.041 g/cm3
VASP energy = -6.595 eV per atom
Energy relative to the elements = -299 meV per atom
Relative energy among the computed polymorphs = 21 meV per atom



20.
Here is KCaTe2N after structural relaxation from the Alexandria database. Energies are from PBE.

```
KCaTe2N
1.0
6.0743 0.0000 0.0000
0.0000 6.0743 0.0000
0.0000 0.0000 4.5287
Ca Te K N
1 2 1 1
Cartesian
0.0000 0.0000 0.0000
0.0000 3.0372 0.0000
3.0372 0.0000 0.0000
3.0372 3.0372 2.2643
0.0000 0.0000 2.2643
```

Output
Calculated density = 3.462 g/cm3
VASP energy = -3.323 eV per atom
Relative energy among the computed polymorphs = 0 meV per atom
Formation energy (no corrections) = 0.219 eV/atom